A relaxed BPI2 crystal. Source: Alexandria via LeMat-Bulk, functional PBE.

ρ = 4.91 g/cm3
total DFT energy (no corrections) = -2.4540 eV/atom
relative energy among the computed polymorphs = 0 meV/atom
spin magnetization = 0.0 μB per cell

Lattice parameters (Å, degrees): 6.4068 6.4068 6.4068 113.33 113.33 102.01
Closest atoms and distances in Å follow each position.
Fractional positions:
B 0.0000 0.0000 0.0000  4 I 2.46
B 0.7500 0.2500 0.5000  4 I 2.46
P 0.2500 0.7500 0.5000  4 I 2.93
P 0.5000 0.5000 0.0000  4 I 2.93
I 0.0738 0.6250 0.9488  2 B 2.46
I 0.3750 0.3238 0.4488  2 B 2.46
I 0.6762 0.1250 0.0512  2 B 2.46
I 0.8750 0.9262 0.5512  2 B 2.46